Entry from the Alexandria database: an optimized crystal structure of CaBe2Tl (PBE).

The distance to the lowest polymorph of the same formula is 181 meV/atom.

The space group is P4mm (No. 99) and the conventional cell measures 3.1894, 3.1894 and 7.2648 Å, with angles of 90.00, 90.00 and 90.00 degrees. Symmetry generates all atoms from Ca at (0.0000, 0.0000, 0.0000), Be at (0.0000, 0.0000, 0.6065), Be at (0.5000, 0.5000, 0.7125) and Tl at (0.5000, 0.5000, 0.3418).

=====

Entry from the Alexandria database: an optimized crystal structure of CaBe2Tl (PBE).

The distance to the lowest polymorph of the same formula is 246 meV/atom.

The space group is Fm-3m (No. 225) and the conventional cell measures 6.5520, 6.5520 and 6.5520 Å, with angles of 90.00, 90.00 and 90.00 degrees. Symmetry generates all atoms from Ca at (0.0000, 0.0000, 0.0000), Be at (0.2500, 0.2500, 0.2500) and Tl at (0.0000, 0.0000, 0.5000).

=====

Entry from the Alexandria database: an optimized crystal structure of Ca2BeTl2 (PBE).

The space group is P4/mbm (No. 127) and the conventional cell measures 7.2482, 7.2482 and 5.0692 Å, with angles of 90.00, 90.00 and 90.00 degrees. Symmetry generates all atoms from Ca at (0.1678, 0.3322, 0.0000), Be at (0.0000, 0.0000, 0.5000) and Tl at (0.1503, 0.6503, 0.5000).

=====

Entry from the Alexandria database: an optimized crystal structure of CaBe3Tl (PBE).

The distance to the lowest polymorph of the same formula is 892 meV/atom.

The space group is Pm-3m (No. 221) and the conventional cell measures 5.3403, 5.3403 and 5.3403 Å, with angles of 90.00, 90.00 and 90.00 degrees. Symmetry generates all atoms from Ca at (0.0000, 0.0000, 0.0000), Be at (0.0000, 0.0000, 0.5000) and Tl at (0.5000, 0.5000, 0.5000).

=====

Entry from the Alexandria database: an optimized crystal structure of CaBe3Tl (PBE).

The distance to the lowest polymorph of the same formula is 0 meV/atom.

The space group is Pm-3m (No. 221) and the conventional cell measures 4.6313, 4.6313 and 4.6313 Å, with angles of 90.00, 90.00 and 90.00 degrees. Symmetry generates all atoms from Ca at (0.0000, 0.0000, 0.0000), Be at (0.0000, 0.5000, 0.5000) and Tl at (0.5000, 0.5000, 0.5000).

=====

Entry from the Alexandria database: an optimized crystal structure of CaBeTl3 (PBE).

The distance to the lowest polymorph of the same formula is 903 meV/atom.

The space group is Pm-3m (No. 221) and the conventional cell measures 6.0263, 6.0263 and 6.0263 Å, with angles of 90.00, 90.00 and 90.00 degrees. Symmetry generates all atoms from Ca at (0.0000, 0.0000, 0.0000), Be at (0.5000, 0.5000, 0.5000) and Tl at (0.0000, 0.0000, 0.5000).

=====

Entry from the Alexandria database: an optimized crystal structure of CaBe2Tl (PBE).

The distance to the lowest polymorph of the same formula is 0 meV/atom.

The space group is Cm (No. 8) and the conventional cell measures 6.9825, 4.0190 and 6.0937 Å, with angles of 90.00, 112.28 and 90.00 degrees. Symmetry generates all atoms from Ca at (0.0000, 0.0000, 0.0000), Be at (0.2881, 0.5000, 0.3649), Be at (0.4529, 0.0000, 0.3608) and Tl at (0.1972, 0.0000, 0.5937).

=====

Entry from the Alexandria database: an optimized crystal structure of CaBeTl3 (PBE).

The distance to the lowest polymorph of the same formula is 0 meV/atom.

The space group is Pm-3m (No. 221) and the conventional cell measures 5.1037, 5.1037 and 5.1037 Å, with angles of 90.00, 90.00 and 90.00 degrees. Symmetry generates all atoms from Ca at (0.0000, 0.0000, 0.0000), Be at (0.5000, 0.5000, 0.5000) and Tl at (0.0000, 0.5000, 0.5000).

=====

Entry from the Alexandria database: an optimized crystal structure of CaBe2Tl (PBE).

The distance to the lowest polymorph of the same formula is 213 meV/atom.

The space group is Imm2 (No. 44) and the conventional cell measures 4.1344, 5.2336 and 7.5167 Å, with angles of 90.00, 90.00 and 90.00 degrees. Symmetry generates all atoms from Ca at (0.0000, 0.0000, 0.0000), Be at (0.0000, 0.0000, 0.6119), Be at (0.0000, 0.5000, 0.1811) and Tl at (0.0000, 0.5000, 0.8083).

=====

Entry from the Alexandria database: an optimized crystal structure of CaBe2Tl (PBE).

The distance to the lowest polymorph of the same formula is 74 meV/atom.

The space group is Pm (No. 6) and the conventional cell measures 3.9027, 3.9815 and 5.3329 Å, with angles of 90.00, 111.39 and 90.00 degrees. Symmetry generates all atoms from Ca at (0.0000, 0.0000, 0.0000), Be at (0.2963, 0.0000, 0.5925), Be at (0.3755, 0.5000, 0.7504) and Tl at (0.7017, 0.5000, 0.4009).

=====

Entry from the Alexandria database: an optimized crystal structure of CaBe4Tl (PBE).

The space group is F-43m (No. 216) and the conventional cell measures 7.1340, 7.1340 and 7.1340 Å, with angles of 90.00, 90.00 and 90.00 degrees. Symmetry generates all atoms from Ca at (0.0000, 0.0000, 0.0000), Be at (0.1354, 0.1354, 0.3646) and Tl at (0.2500, 0.2500, 0.7500).

=====

Entry from the Alexandria database: an optimized crystal structure of CaBe2Tl (PBE).

The distance to the lowest polymorph of the same formula is 363 meV/atom.

The space group is Cmmm (No. 65) and the conventional cell measures 4.5070, 5.4126 and 6.6265 Å, with angles of 90.00, 90.00 and 90.00 degrees. Symmetry generates all atoms from Ca at (0.0000, 0.0000, 0.0000), Be at (0.0000, 0.5000, 0.3102) and Tl at (0.0000, 0.0000, 0.5000).

=====

Entry from the Alexandria database: an optimized crystal structure of CaBe2Tl (PBE).

The distance to the lowest polymorph of the same formula is 196 meV/atom.

The space group is Pmmm (No. 47) and the conventional cell measures 3.7019, 4.2981 and 5.1482 Å, with angles of 90.00, 90.00 and 90.00 degrees. Symmetry generates all atoms from Ca at (0.0000, 0.0000, 0.0000), Be at (0.5000, 0.5000, 0.2319) and Tl at (0.5000, 0.0000, 0.5000).

=====

Entry from the Alexandria database: an optimized crystal structure of CaBe2Tl (PBE).

The distance to the lowest polymorph of the same formula is 366 meV/atom.

The space group is Pmmm (No. 47) and the conventional cell measures 3.3946, 3.7034 and 6.4033 Å, with angles of 90.00, 90.00 and 90.00 degrees. Symmetry generates all atoms from Ca at (0.0000, 0.0000, 0.0000), Be at (0.5000, 0.5000, 0.3139) and Tl at (0.0000, 0.0000, 0.5000).

=====

Entry from the Alexandria database: an optimized crystal structure of CaBe2Tl (PBE).

The distance to the lowest polymorph of the same formula is 109 meV/atom.

The space group is C2/m (No. 12) and the conventional cell measures 7.2621, 4.1833 and 5.7713 Å, with angles of 90.00, 114.52 and 90.00 degrees. Symmetry generates all atoms from Ca at (0.0000, 0.0000, 0.0000), Be at (0.1964, 0.0000, 0.5882) and Tl at (0.0000, 0.5000, 0.5000).

=====

Entry from the Alexandria database: an optimized crystal structure of CaBe2Tl (PBE).

The distance to the lowest polymorph of the same formula is 216 meV/atom.

The space group is I4_1/amd (No. 141, origin choice 2) and the conventional cell measures 4.5629, 4.5629 and 16.9019 Å, with angles of 90.00, 90.00 and 90.00 degrees. Symmetry generates all atoms from Ca at (0.0000, 0.2500, 0.3750), Be at (0.0000, 0.0000, 0.0000) and Tl at (0.0000, 0.2500, 0.8750).

=====

Entry from the Alexandria database: an optimized crystal structure of CaBe2Tl (PBE).

The distance to the lowest polymorph of the same formula is 320 meV/atom.

The space group is I-4m2 (No. 119) and the conventional cell measures 4.7504, 4.7504 and 6.6040 Å, with angles of 90.00, 90.00 and 90.00 degrees. Symmetry generates all atoms from Ca at (0.0000, 0.0000, 0.0000), Be at (0.0000, 0.0000, 0.5000), Be at (0.0000, 0.5000, 0.2500) and Tl at (0.0000, 0.5000, 0.7500).

=====

Entry from the Alexandria database: an optimized crystal structure of Ca2BeTlZn (PBE).

The space group is P4/mmm (No. 123) and the conventional cell measures 5.5383, 5.5383 and 4.2888 Å, with angles of 90.00, 90.00 and 90.00 degrees. Symmetry generates all atoms from Ca at (0.0000, 0.5000, 0.0000), Be at (0.0000, 0.0000, 0.0000), Tl at (0.5000, 0.5000, 0.5000) and Zn at (0.0000, 0.0000, 0.5000).

=====

Entry from the Alexandria database: an optimized crystal structure of CaTm2Be (PBE).

The space group is P4/mmm (No. 123) and the conventional cell measures 3.4565, 3.4565 and 8.9783 Å, with angles of 90.00, 90.00 and 90.00 degrees. Symmetry generates all atoms from Ca at (0.0000, 0.0000, 0.0000), Tm at (0.5000, 0.5000, 0.3242) and Be at (0.0000, 0.0000, 0.5000).

=====

Entry from the Alexandria database: an optimized crystal structure of CaBeV3 (PBE).

The distance to the lowest polymorph of the same formula is 0 meV/atom.

The space group is Pm-3m (No. 221) and the conventional cell measures 4.3809, 4.3809 and 4.3809 Å, with angles of 90.00, 90.00 and 90.00 degrees. Symmetry generates all atoms from Ca at (0.0000, 0.0000, 0.0000), Be at (0.5000, 0.5000, 0.5000) and V at (0.0000, 0.5000, 0.5000).

=====

Entry from the Alexandria database: an optimized crystal structure of CaBe3V (PBE).

The distance to the lowest polymorph of the same formula is 1388 meV/atom.

The space group is Pm-3m (No. 221) and the conventional cell measures 4.6579, 4.6579 and 4.6579 Å, with angles of 90.00, 90.00 and 90.00 degrees. Symmetry generates all atoms from Ca at (0.0000, 0.0000, 0.0000), Be at (0.0000, 0.0000, 0.5000) and V at (0.5000, 0.5000, 0.5000).

=====

Entry from the Alexandria database: an optimized crystal structure of Ca3BeV (PBE).

The space group is Pm-3m (No. 221) and the conventional cell measures 5.4556, 5.4556 and 5.4556 Å, with angles of 90.00, 90.00 and 90.00 degrees. Symmetry generates all atoms from Ca at (0.0000, 0.0000, 0.5000), Be at (0.0000, 0.0000, 0.0000) and V at (0.5000, 0.5000, 0.5000).

=====

Entry from the Alexandria database: an optimized crystal structure of CaBeV2 (PBE).

The space group is I4_1/amd (No. 141, origin choice 2) and the conventional cell measures 4.1295, 4.1295 and 18.5927 Å, with angles of 90.00, 90.00 and 90.00 degrees. Symmetry generates all atoms from Ca at (0.0000, 0.2500, 0.3750), Be at (0.0000, 0.2500, 0.8750) and V at (0.0000, 0.0000, 0.0000).

=====

Entry from the Alexandria database: an optimized crystal structure of CaBe3V (PBE).

The distance to the lowest polymorph of the same formula is 0 meV/atom.

The space group is Pm-3m (No. 221) and the conventional cell measures 4.4646, 4.4646 and 4.4646 Å, with angles of 90.00, 90.00 and 90.00 degrees. Symmetry generates all atoms from Ca at (0.0000, 0.0000, 0.0000), Be at (0.0000, 0.5000, 0.5000) and V at (0.5000, 0.5000, 0.5000).

=====

Entry from the Alexandria database: an optimized crystal structure of Ca2BeV (PBE).

The space group is I-42d (No. 122) and the conventional cell measures 8.1414, 8.1414 and 5.8590 Å, with angles of 90.00, 90.00 and 90.00 degrees. Symmetry generates all atoms from Ca at (0.2097, 0.2500, 0.1250), Be at (0.0000, 0.0000, 0.0000) and V at (0.0000, 0.0000, 0.5000).

=====

Entry from the Alexandria database: an optimized crystal structure of CaBeV3 (PBE).

The distance to the lowest polymorph of the same formula is 1495 meV/atom.

The space group is Pm-3m (No. 221) and the conventional cell measures 4.2946, 4.2946 and 4.2946 Å, with angles of 90.00, 90.00 and 90.00 degrees. Symmetry generates all atoms from Ca at (0.0000, 0.0000, 0.0000), Be at (0.5000, 0.5000, 0.5000) and V at (0.0000, 0.0000, 0.5000).

=====

Entry from the Alexandria database: an optimized crystal structure of CaYBeV2 (PBE).

The space group is P4/mmm (No. 123) and the conventional cell measures 4.9486, 4.9486 and 5.0214 Å, with angles of 90.00, 90.00 and 90.00 degrees. Symmetry generates all atoms from Ca at (0.0000, 0.0000, 0.0000), Y at (0.5000, 0.5000, 0.5000), Be at (0.5000, 0.5000, 0.0000) and V at (0.0000, 0.5000, 0.5000).

=====

Entry from the Alexandria database: an optimized crystal structure of CaBeW2 (PBE).

The space group is Cmmm (No. 65) and the conventional cell measures 3.6984, 4.0802 and 8.6880 Å, with angles of 90.00, 90.00 and 90.00 degrees. Symmetry generates all atoms from Ca at (0.0000, 0.0000, 0.0000), Be at (0.0000, 0.0000, 0.5000) and W at (0.0000, 0.5000, 0.3091).

=====

Entry from the Alexandria database: an optimized crystal structure of CaBe2W (PBE).

The distance to the lowest polymorph of the same formula is 739 meV/atom.

The space group is I-42d (No. 122) and the conventional cell measures 4.3692, 4.3692 and 16.5902 Å, with angles of 90.00, 90.00 and 90.00 degrees. Symmetry generates all atoms from Ca at (0.0000, 0.0000, 0.0000), Be at (0.0013, 0.7500, 0.6250) and W at (0.0000, 0.0000, 0.5000).

=====

| no. | energy of formation (eV/atom) |
| --- | --- |
| 1 | 0.337 |
| 2 | 0.402 |
| 3 | 0.011 |
| 4 | 1.766 |
| 5 | 0.875 |
| 6 | 1.014 |
| 7 | 0.156 |
| 8 | 0.111 |
| 9 | 0.369 |
| 10 | 0.230 |
| 11 | 0.429 |
| 12 | 0.519 |
| 13 | 0.352 |
| 14 | 0.522 |
| 15 | 0.265 |
| 16 | 0.372 |
| 17 | 0.477 |
| 18 | 0.030 |
| 19 | 0.106 |
| 20 | 0.895 |
| 21 | 2.229 |
| 22 | 0.767 |
| 23 | 0.881 |
| 24 | 0.842 |
| 25 | 0.877 |
| 26 | 2.389 |
| 27 | 1.507 |
| 28 | 0.605 |
| 29 | 1.078 |